YTl2CdF6 | PBE | relaxed

Lattice parameters (Å, degrees): 6.2274 6.2274 6.2274 60.00 60.00 60.00
Atoms (fractional coordinates):
Cd 0.0000 0.0000 0.0000
F 0.7441 0.2559 0.2559
F 0.7441 0.7441 0.2559
F 0.2559 0.7441 0.2559
F 0.2559 0.2559 0.7441
F 0.7441 0.2559 0.7441
F 0.2559 0.7441 0.7441
Tl 0.2500 0.2500 0.2500
Tl 0.7500 0.7500 0.7500
Y 0.5000 0.5000 0.5000

Calculated values
The total energy comes out at -4.84 eV/atom. As for the calculated volume: 17.1 Å³/atom.